#P
## K2MnAg (GGA-PBE)

Data for crystalline K2MnAg at its relaxed geometry.

a = 8.864 Å, b = 5.375 Å, c = 4.731 Å
α = 90.01°, β = 57.74°, γ = 126.13°
Positions (direct):
K 0.000 0.000 0.000
K 0.500 0.000 0.500
Ag 0.500 0.500 0.000
Mn 0.000 0.500 0.500

## Properties
DOS(E_F): 3.401 states/eV per cell



#Q
## K2MnAg (GGA-PBE)

Data for crystalline K2MnAg at its relaxed geometry.

a = 5.584 Å, b = 5.584 Å, c = 5.584 Å
α = 60.00°, β = 60.00°, γ = 60.00°
Positions (direct):
Ag 0.500 0.500 0.500
K 0.000 0.000 0.000
K 0.250 0.250 0.250
Mn 0.750 0.750 0.750

## Properties
DOS(E_F): 3.688 states/eV per cell



#R
## K2MnAg (GGA-PBE)

Data for crystalline K2MnAg at its relaxed geometry.

a = 11.670 Å, b = 11.670 Å, c = 11.670 Å
α = 17.65°, β = 17.65°, γ = 17.65°
Positions (direct):
Mn 0.750 0.750 0.750
K 0.995 0.995 0.995
K 0.505 0.505 0.505
Ag 0.250 0.250 0.250

## Properties
DOS(E_F): 2.784 states/eV per cell



#S
## K2MnAg (GGA-PBE)

Data for crystalline K2MnAg at its relaxed geometry.

a = 4.626 Å, b = 4.626 Å, c = 9.293 Å
α = 76.17°, β = 76.17°, γ = 59.83°
Positions (direct):
K 0.787 0.787 0.650
K 0.963 0.963 0.100
Mn 0.542 0.542 0.375
Ag 0.209 0.209 0.375

## Properties
DOS(E_F): 3.141 states/eV per cell



In order of decreasing stability: #S, #Q, #P, #R.